DFT (PBE) results for a geometry-optimized Sb5Rh3 structure.

Geometry as POSCAR:
```
Sb5Rh3
1.0
3.7000 -5.3882 0.0000
3.7000 5.3882 0.0000
0.0000 0.0000 4.3603
Sb Rh
5 3
Direct
0.0000 0.0000 0.0000
0.0000 0.5000 0.0000
0.2818 0.2818 0.5000
0.5000 0.0000 0.0000
0.7182 0.7182 0.5000
0.3081 0.6919 0.5000
0.5000 0.5000 0.0000
0.6919 0.3081 0.5000
```

- Size of the total moment: 0.0 μB per formula unit
- Mass density: 8.763 g/cm³
- Symmetry: Cmmm (65)
- Density of states at the Fermi level: 0.43 states/eV/atom
- Uncorrected formation energy: -23 meV per atom

DFT (PBE) results for a geometry-optimized Ba3Sn2Hg5 structure.

Geometry as POSCAR:
```
Ba3Sn2Hg5
1.0
-6.0218 7.8682 3.6301
6.0218 -7.8682 3.6301
6.0218 7.8682 -3.6301
Ba Sn Hg
6 4 10
Direct
0.1390 0.7048 0.8439
0.2500 0.2500 0.0000
0.3610 0.2048 0.5658
0.6390 0.7952 0.4342
0.7500 0.7500 0.0000
0.8610 0.2952 0.1561
0.1326 0.1696 0.3023
0.3674 0.6696 0.0370
0.6326 0.3304 0.9630
0.8674 0.8304 0.6977
0.0287 0.2500 0.7787
0.1419 0.4067 0.5485
0.2500 0.7500 0.5000
0.3581 0.9067 0.2648
0.4713 0.2500 0.2213
0.5287 0.7500 0.7787
0.6419 0.0933 0.7352
0.7500 0.2500 0.5000
0.8581 0.5933 0.4515
0.9713 0.7500 0.2213
```

- Size of the total moment: 0.0 μB per formula unit
- Mass density: 7.976 g/cm³
- Symmetry: Ibam (72)
- Density of states at the Fermi level: 0.49 states/eV/atom
- DFT formation energy: -0.38 eV per atom

DFT (PBE) results for a geometry-optimized LiN2OF structure.

Geometry as POSCAR:
```
LiN2OF
1.0
4.1685 0.0000 0.0000
0.0000 4.1685 0.0000
0.0000 0.0000 3.5604
Li N O F
1 2 1 1
Direct
0.0000 0.0000 0.0000
0.0000 0.5000 0.0000
0.5000 0.0000 0.0000
0.0000 0.0000 0.5000
0.5000 0.5000 0.5000
```

- Size of the total moment: 5.6 μB per formula unit
- Mass density: 1.878 g/cm³
- Symmetry: P4/mmm (123)
- Density of states at the Fermi level: 1.44 states/eV/atom
- Uncorrected formation energy: 1976 meV per atom

DFT (PBE) results for a geometry-optimized ZrPaRh6 structure.

Geometry as POSCAR:
```
ZrPaRh6
1.0
4.4711 -2.0232 0.0000
4.4711 2.0232 0.0000
-3.6895 0.0000 7.1867
Zr Pa Rh
1 1 6
Direct
0.0000 0.0000 0.0000
0.0000 0.0000 0.5000
0.2468 0.2468 0.8743
0.2526 0.2526 0.3755
0.5003 0.5003 0.2448
0.4997 0.4997 0.7552
0.7474 0.7474 0.6245
0.7532 0.7532 0.1257
```

- Size of the total moment: 0.0 μB per formula unit
- Mass density: 12.001 g/cm³
- Symmetry: C2/m (12)
- Density of states at the Fermi level: 1.06 states/eV/atom
- Polymorph energy (0 for the lowest one): 0.127 eV/atom
- DFT formation energy: -0.66 eV per atom